VASP calculation (GGA-PBEsol) on a relaxed structure of Li2NiO2.

Lattice parameters (Å, degrees): 3.1020 3.1020 4.9175 90.00 90.00 120.00
Space group P-3m1 (No. 164)
One atom of each set of equivalent atoms:
Li 0.3333 0.6667 0.1485 [2 per cell]
Ni 0.0000 0.0000 0.5000 [1 per cell]
O 0.3333 0.6667 0.7306 [2 per cell]

Computed properties:
The calculation puts the excess energy over the best structure of this formula in the dataset at 177 meV per atom. As for the crystal system: trigonal.

VASP calculation (GGA-PBEsol) on a relaxed structure of Ti3FeCu2S8.

Lattice parameters (Å, degrees): 6.8826 6.8826 16.9046 90.00 90.00 120.00
Space group R-3m (No. 166, hexagonal axes)
One atom of each set of equivalent atoms:
Ti 0.0000 0.5000 0.0000 [9 per cell]
Fe 0.0000 0.0000 0.5000 [3 per cell]
Cu 0.0000 0.0000 0.1240 [6 per cell]
S 0.0000 0.0000 0.2539 [6 per cell]
S 0.0208 0.5104 0.2471 [18 per cell]

Computed properties:
As for the crystal system: trigonal.

VASP calculation (GGA-PBEsol) on a relaxed structure of BaAuIO2.

Lattice parameters (Å, degrees): 4.327 4.327 7.349 90.00 90.00 90.00
Space group P4/mmm (No. 123)
One atom of each set of equivalent atoms:
Ba 0.000 0.000 0.000 [1 per cell]
Au 0.500 0.500 0.500 [1 per cell]
I 0.000 0.000 0.500 [1 per cell]
O 0.000 0.500 0.000 [2 per cell]

Computed properties:
As for the crystal system: tetragonal.

Short version: electronic total energy = -27.2; -275.1; -19.0 eV/cell, in the order given.